Entry from the Alexandria database: a geometry-optimized Dy2ErTm3S6 structure (PBE).

Values from the calculation:
Formation energy (no corrections), eV per atom: -1.956

Lattice parameters (Å, degrees): 16.842 3.857 7.763 90.00 103.60 90.00
Space group C2/m (No. 12)
Unique sites:
Dy1 0.167 0.000 0.334
Er1 0.000 0.500 0.000
Tm1 0.000 0.500 0.500
Tm2 0.167 0.000 0.833
S1 0.002 0.000 0.749
S2 0.165 0.500 0.587
S3 0.167 0.500 0.079

***

Entry from the Alexandria database: a geometry-optimized Tb4Al24Pt9 structure (PBE).

Values from the calculation:
Formation energy from the elements, eV/atom: -0.925

Lattice parameters (Å, degrees): 7.528 7.531 13.204 79.10 84.54 60.09
Space group P-1 (No. 2)
Unique sites:
Tb1 0.001 0.232 0.309
Tb2 0.332 0.562 0.309
Al1 0.000 0.148 0.556
Al2 0.001 0.686 0.941
Al3 0.006 0.056 0.830
Al4 0.131 0.308 0.684
Al5 0.333 0.021 0.939
Al6 0.333 0.183 0.453
Al7 0.333 0.647 0.059
Al8 0.334 0.383 0.830
Al9 0.334 0.482 0.555
Al10 0.336 0.898 0.683
Al11 0.340 0.270 0.169
Al12 0.458 0.897 0.316
Pt1 0.000 0.500 0.500
Pt2 0.008 0.613 0.138
Pt3 0.326 0.954 0.137
Pt4 0.329 0.829 0.500
Pt5 0.333 0.705 0.862

***

Entry from the Alexandria database: a geometry-optimized Th6Pd2Ru structure (PBE).

Values from the calculation:
Formation energy from the elements, eV/atom: -0.406

Lattice parameters (Å, degrees): 6.436 7.577 11.901 90.00 119.92 90.00
Space group P2_1/c (No. 14)
Unique sites:
Th1 0.087 0.198 0.433
Th2 0.288 0.661 0.444
Th3 0.401 0.038 0.245
Pd1 0.149 0.119 0.728
Ru1 0.500 0.000 0.500

***

Entry from the Alexandria database: a geometry-optimized Ba4AgGe structure (PBE).

Values from the calculation:
Formation energy from the elements, eV/atom: -0.271

Lattice parameters (Å, degrees): 10.870 15.369 7.958 90.00 127.32 90.00
Space group C2/c (No. 15)
Unique sites:
Ba1 0.133 0.189 0.104
Ba2 0.190 0.448 0.252
Ag1 0.000 0.000 0.250
Ge1 0.000 0.365 0.750

***

Entry from the Alexandria database: a geometry-optimized TiSiOs structure (PBE).

Values from the calculation:
Formation energy (no corrections), eV per atom: -0.644

Lattice parameters (Å, degrees): 11.383 3.503 6.535 90.00 90.00 90.00
Space group Pmma (No. 51)
Unique sites:
Ti1 0.042 0.000 0.242
Ti2 0.250 0.000 0.843
Si1 0.096 0.500 0.940
Si2 0.250 0.000 0.444
Os1 0.119 0.500 0.570
Os2 0.250 0.500 0.193

***

Entry from the Alexandria database: a geometry-optimized VSi2Se6 structure (PBE).

Values from the calculation:
Formation energy (no corrections), eV per atom: -0.385

Lattice parameters (Å, degrees): 12.257 11.143 6.489 90.00 101.65 90.00
Space group C2/c (No. 15)
Unique sites:
V1 0.000 0.125 0.250
Si1 0.201 0.421 0.339
Se1 0.105 0.075 0.617
Se2 0.126 0.415 0.638
Se3 0.135 0.251 0.146

***

Calculated density of states at the Fermi level in order - 10.23 7.08 20.56 20.61 14.21 0.92 states/eV/cell